Record 1
Computed, not measured: NbTlCoW after structural relaxation at the PBE-GGA level of DFT.

Cell and atoms, written as POSCAR:
```
NbTlCoW
1.0
0.000 3.239 3.239
3.239 0.000 3.239
3.239 3.239 0.000
Nb Tl Co W
1 1 1 1
Direct
0.000 0.000 0.000
0.500 0.500 0.500
0.750 0.750 0.750
0.250 0.250 0.250
```

Calculated values
- distance to the lowest polymorph of the same formula (meV per atom) = 0
- size of the total moment (μB per formula unit) = 1.022
- space group = F-43m, No. 216

---

Record 2
Computed, not measured: Zr2O5 after structural relaxation at the PBE-GGA level of DFT.

Cell and atoms, written as POSCAR:
```
Zr2O5
1.0
3.680 0.000 0.000
-0.004 4.285 0.000
-1.832 -1.841 5.716
Zr O
2 5
Direct
0.000 0.000 0.000
0.290 0.428 0.581
0.124 0.457 0.247
0.164 0.965 0.329
0.428 0.184 0.856
0.474 0.727 0.949
0.819 0.637 0.639
```

Calculated values
- raw total energy (eV/cell) = -58.472
- size of the total moment (μB per formula unit) = 0.001
- space group = P1, No. 1

---

Record 3
Computed, not measured: NaSrNdS3 after structural relaxation at the PBE-GGA level of DFT.

Cell and atoms, written as POSCAR:
```
NaSrNdS3
1.0
2.109 -6.726 0.000
2.109 6.726 0.000
0.000 0.000 10.697
Na Sr Nd S
2 2 2 6
Direct
0.018 0.982 0.750
0.982 0.018 0.250
0.250 0.750 0.250
0.750 0.250 0.750
0.500 0.500 0.000
0.500 0.500 0.500
0.137 0.863 0.561
0.137 0.863 0.939
0.408 0.592 0.750
0.592 0.408 0.250
0.863 0.137 0.061
0.863 0.137 0.439
```

Calculated values
- distance to the lowest polymorph of the same formula (meV per atom) = 152
- size of the total moment (μB per formula unit) = 0.002
- space group = Cmcm, No. 63

---

Record 4
Computed, not measured: Gd11Ir3Br15 after structural relaxation at the PBE-GGA level of DFT.

Cell and atoms, written as POSCAR:
```
Gd11Ir3Br15
1.0
12.845 0.000 0.000
-6.422 11.124 0.000
0.000 0.000 12.839
Gd Ir Br
22 6 30
Direct
0.040 0.379 0.108
0.040 0.379 0.392
0.082 0.675 0.250
0.325 0.407 0.250
0.333 0.667 0.081
0.333 0.667 0.419
0.339 0.960 0.108
0.339 0.960 0.392
0.379 0.339 0.608
0.379 0.339 0.892
0.407 0.082 0.750
0.593 0.918 0.250
0.621 0.661 0.108
0.621 0.661 0.392
0.661 0.040 0.608
0.661 0.040 0.892
0.667 0.333 0.581
0.667 0.333 0.919
0.675 0.593 0.750
0.918 0.325 0.750
0.960 0.621 0.608
0.960 0.621 0.892
0.195 0.534 0.250
0.339 0.805 0.250
0.466 0.661 0.250
0.534 0.339 0.750
0.661 0.195 0.750
0.805 0.466 0.750
0.085 0.809 0.066
0.085 0.809 0.434
0.117 0.805 0.750
0.130 0.527 0.588
0.130 0.527 0.912
0.191 0.276 0.066
0.191 0.276 0.434
0.195 0.312 0.750
0.276 0.085 0.566
0.276 0.085 0.934
0.312 0.117 0.250
0.397 0.870 0.588
0.397 0.870 0.912
0.473 0.603 0.588
0.473 0.603 0.912
0.527 0.397 0.088
0.527 0.397 0.412
0.603 0.130 0.088
0.603 0.130 0.412
0.688 0.883 0.750
0.724 0.915 0.066
0.724 0.915 0.434
0.805 0.688 0.250
0.809 0.724 0.566
0.809 0.724 0.934
0.870 0.473 0.088
0.870 0.473 0.412
0.883 0.195 0.250
0.915 0.191 0.566
0.915 0.191 0.934
```

Calculated values
- raw total energy (eV/cell) = -295.197
- size of the total moment (μB per formula unit) = 1.007
- space group = P6_3/m, No. 176

---

Record 5
Computed, not measured: ZnC2N2 after structural relaxation at the PBE-GGA level of DFT.

Cell and atoms, written as POSCAR:
```
ZnC2N2
1.0
9.771 0.000 0.000
0.000 9.771 0.000
0.000 0.000 7.699
Zn C N
4 8 8
Direct
0.008 0.659 0.000
0.341 0.008 0.250
0.659 0.992 0.750
0.992 0.341 0.500
0.049 0.467 0.686
0.151 0.784 0.088
0.216 0.151 0.338
0.467 0.951 0.436
0.533 0.049 0.936
0.784 0.849 0.838
0.849 0.216 0.588
0.951 0.533 0.186
0.060 0.544 0.802
0.139 0.228 0.400
0.228 0.861 0.150
0.456 0.060 0.052
0.544 0.940 0.552
0.772 0.139 0.650
0.861 0.772 0.900
0.940 0.456 0.302
```

Calculated values
- raw total energy (eV/cell) = -141.125
- space group = P4_1, No. 76

---

Record 6
Computed, not measured: GdSbAs after structural relaxation at the PBE-GGA level of DFT.

Cell and atoms, written as POSCAR:
```
GdSbAs
1.0
0.000 3.545 3.545
3.545 0.000 3.545
3.545 3.545 0.000
Gd Sb As
1 1 1
Direct
0.000 0.000 0.000
0.750 0.750 0.750
0.500 0.500 0.500
```

Calculated values
- distance to the lowest polymorph of the same formula (meV per atom) = 142
- size of the total moment (μB per formula unit) = 0.016
- space group = F-43m, No. 216

---

Record 7
Computed, not measured: AlZnMo4C2 after structural relaxation at the PBE-GGA level of DFT.

Cell and atoms, written as POSCAR:
```
AlZnMo4C2
1.0
3.037 0.000 0.000
-1.519 2.630 0.000
0.000 0.000 13.442
Al Zn Mo C
1 1 4 2
Direct
0.000 0.000 0.000
0.667 0.333 0.500
0.000 0.000 0.338
0.000 0.000 0.662
0.667 0.333 0.161
0.667 0.333 0.839
0.333 0.667 0.251
0.333 0.667 0.749
```

Calculated values
- raw total energy (eV/cell) = -67.522
- size of the total moment (μB per formula unit) = 0.007
- space group = P-6m2, No. 187

---

Record 8
Computed, not measured: RbSiOs after structural relaxation at the PBE-GGA level of DFT.

Cell and atoms, written as POSCAR:
```
RbSiOs
1.0
0.000 3.215 3.215
3.215 0.000 3.215
3.215 3.215 0.000
Rb Si Os
1 1 1
Direct
0.000 0.000 0.000
0.500 0.500 0.500
0.250 0.250 0.250
```

Calculated values
- distance to the lowest polymorph of the same formula (meV per atom) = 0
- size of the total moment (μB per formula unit) = 0.017
- space group = F-43m, No. 216